# 1
A plane-wave DFT calculation with GGA-PBE was carried out for a geometry-optimized Ta2BC structure.

Values from the calculation:
- N(E_F): 1.5 states/eV/f.u.
- Formation energy from the elements: -665.1 meV/atom
- Total energy: -84.5 eV per cell
- Energy above the lowest structure with this stoichiometry: 0.000 eV per atom

Lattice parameters (Å, degrees): 3.1477 3.2160 9.2215 100.04 90.00 90.00
Last column: nearest neighbours and their distance in Å.
Positions (direct):
Ta 0.2500 0.3082 0.6165  5 C 2.15-2.25
C 0.7500 0.8104 0.6208  6 Ta 2.14-2.25
B 0.2500 0.4737 0.9474  2 B 1.84
C 0.2500 0.1896 0.3792  6 Ta 2.14-2.25
B 0.7500 0.5263 0.0526  2 B 1.84
Ta 0.2500 0.0720 0.1440  1 C 2.14
Ta 0.7500 0.9280 0.8560  1 C 2.14
Ta 0.7500 0.6918 0.3835  5 C 2.15-2.25


# 2
A plane-wave DFT calculation with GGA-PBE was carried out for a geometry-optimized Ta4B2C structure.

Values from the calculation:
- N(E_F): 3.2 states/eV/f.u.
- Formation energy from the elements: 73.2 meV/atom
- Total energy: -69.5 eV per cell

Lattice parameters (Å, degrees): 4.3483 4.3483 6.0422 111.09 111.09 90.00
Last column: nearest neighbours and their distance in Å.
Positions (direct):
Ta 0.7777 0.7777 0.5554  1 B 2.10, 1 C 2.31
Ta 0.5000 0.0000 0.0000  2 C 2.17, 4 B 2.31
Ta 0.0000 0.5000 0.0000  2 C 2.17, 4 B 2.31
B 0.5757 0.5757 0.1515  1 B 1.58
B 0.4243 0.4243 0.8485  1 B 1.58
Ta 0.2223 0.2223 0.4446  1 B 2.10, 1 C 2.31
C 0.0000 0.0000 0.0000  6 Ta 2.17-2.31


# 3
A plane-wave DFT calculation with GGA-PBE was carried out for a geometry-optimized Ta2BC structure.

Values from the calculation:
- N(E_F): 1.2 states/eV/f.u.
- Formation energy from the elements: -608.6 meV/atom
- Total energy: -42.0 eV per cell
- Energy above the lowest structure with this stoichiometry: 0.056 eV per atom

Lattice parameters (Å, degrees): 3.2066 3.2066 5.5775 73.29 73.29 60.00
Last column: nearest neighbours and their distance in Å.
Positions (direct):
C 0.0000 0.0000 0.0000  6 Ta 2.26
Ta 0.7488 0.7488 0.7535  3 C 2.26, 3 B 2.28
Ta 0.2512 0.2512 0.2465  3 C 2.26, 3 B 2.28
B 0.5000 0.5000 0.5000  6 Ta 2.28


# 4
A plane-wave DFT calculation with GGA-PBE was carried out for a geometry-optimized Ta3BC structure.

Values from the calculation:
- N(E_F): 1.6 states/eV/f.u.
- Formation energy from the elements: -307.8 meV/atom
- Total energy: -106.0 eV per cell
- Energy above the lowest structure with this stoichiometry: 0.000 eV per atom

Lattice parameters (Å, degrees): 3.2603 5.4741 7.4049 90.00 90.00 90.00
Last column: nearest neighbours and their distance in Å.
Positions (direct):
C 0.2500 0.2500 0.5839  6 Ta 2.24-2.30
Ta 0.2500 0.2500 0.9440  2 B 2.31
Ta 0.7500 0.7500 0.0560  2 B 2.31
Ta 0.2500 0.4940 0.3308  3 C 2.24-2.30, 2 B 2.44
B 0.7500 0.2500 0.1641  6 Ta 2.31-2.44
Ta 0.7500 0.9940 0.6692  3 C 2.24-2.30, 2 B 2.44
Ta 0.7500 0.5060 0.6692  3 C 2.24-2.30, 2 B 2.44
Ta 0.2500 0.0060 0.3308  3 C 2.24-2.30, 2 B 2.44
C 0.7500 0.7500 0.4161  6 Ta 2.24-2.30
B 0.2500 0.7500 0.8359  6 Ta 2.31-2.44


# 5
A plane-wave DFT calculation with GGA-PBE was carried out for a geometry-optimized Ta4BC structure.

Values from the calculation:
- N(E_F): 3.9 states/eV/f.u.
- Formation energy from the elements: -498.9 meV/atom
- Total energy: -66.3 eV per cell
- Energy above the lowest structure with this stoichiometry: 0.000 eV per atom

Lattice parameters (Å, degrees): 3.1432 5.0129 5.4717 90.47 90.00 90.00
Last column: nearest neighbours and their distance in Å.
Positions (direct):
Ta 0.0000 0.7409 0.6679  1 C 2.22, 2 B 2.24
B 0.5000 0.0000 0.5000  6 Ta 2.23-2.24
Ta 0.0000 0.2591 0.3321  1 C 2.22, 2 B 2.24
C 0.0000 0.0000 0.0000  6 Ta 2.21-2.22
Ta 0.5000 0.2523 0.8379  2 C 2.21, 1 B 2.23
Ta 0.5000 0.7477 0.1621  2 C 2.21, 1 B 2.23


# 6
A plane-wave DFT calculation with GGA-PBE was carried out for a geometry-optimized Ta3BC structure.

Values from the calculation:
- N(E_F): 9.6 states/eV/f.u.
- Formation energy from the elements: 538.1 meV/atom
- Total energy: -48.8 eV per cell
- Energy above the lowest structure with this stoichiometry: 0.846 eV per atom

Lattice parameters (Å, degrees): 4.1923 4.1923 4.1923 90.00 90.00 90.00
Last column: nearest neighbours and their distance in Å.
Positions (direct):
Ta 0.0000 0.5000 0.0000  2 C 2.10
B 0.5000 0.5000 0.5000  12 Ta 2.96
Ta 0.5000 0.0000 0.0000  2 C 2.10
Ta 0.0000 0.0000 0.5000  2 C 2.10
C 0.0000 0.0000 0.0000  6 Ta 2.10